Here is a geometry-optimized TlInAg2 structure from Alexandria. Energies are from PBEsol.

Unit cell a=4.9163 b=4.9163 c=4.9163 alpha=60.00 beta=60.00 gamma=60.00
Closest atoms and distances in Å follow each position.
Atoms (fractional coordinates):
Ag 0.7500 0.7500 0.7500  4 In 3.01, 4 Ag 3.01
In 0.5000 0.5000 0.5000  4 Tl 3.01, 4 Ag 3.01
Ag 0.0000 0.0000 0.0000  4 Ag 3.01, 4 Tl 3.01
Tl 0.2500 0.2500 0.2500  4 Ag 3.01, 4 In 3.01

## Properties
- Formation enthalpy at 0 K: 154 meV/atom
- Symmetry: No. 216
- Energy: -2.91 eV per atom

Here is a geometry-optimized TaSbW structure from Alexandria. Energies are from PBEsol.

Unit cell a=4.4407 b=4.4407 c=4.4407 alpha=60.00 beta=60.00 gamma=60.00
Closest atoms and distances in Å follow each position.
Atoms (fractional coordinates):
Ta 0.0000 0.0000 0.0000  4 Sb 2.72
Sb 0.2500 0.2500 0.2500  4 W 2.72, 4 Ta 2.72
W 0.5000 0.5000 0.5000  4 Sb 2.72

## Properties
- Formation energy (no corrections): 1.15 eV/atom
- Symmetry: No. 216
- Energy: -9.15 eV per atom

Here is a geometry-optimized ZrFeOs3 structure from Alexandria. Energies are from PBEsol.

Unit cell a=4.3803 b=4.3803 c=4.3803 alpha=90.00 beta=90.00 gamma=90.00
Closest atoms and distances in Å follow each position.
Atoms (fractional coordinates):
Fe 0.0000 0.0000 0.0000  6 Os 2.19
Zr 0.5000 0.5000 0.5000  12 Os 3.10
Os 0.0000 0.0000 0.5000  2 Fe 2.19
Os 0.5000 0.0000 0.0000  2 Fe 2.19
Os 0.0000 0.5000 0.0000  2 Fe 2.19

## Properties
- Formation enthalpy at 0 K: 1124 meV/atom
- Symmetry: No. 221
- Energy: -9.82 eV per atom

Here is a geometry-optimized LaHf3Si structure from Alexandria. Energies are from PBEsol.

Unit cell a=4.9979 b=4.9979 c=4.9979 alpha=90.00 beta=90.00 gamma=90.00
Closest atoms and distances in Å follow each position.
Atoms (fractional coordinates):
Hf 0.0000 0.0000 0.5000  2 Si 2.50
La 0.5000 0.5000 0.5000  12 Hf 3.53
Hf 0.0000 0.5000 0.0000  2 Si 2.50
Si 0.0000 0.0000 0.0000  6 Hf 2.50
Hf 0.5000 0.0000 0.0000  2 Si 2.50

## Properties
- Formation energy (no corrections): 0.21 eV/atom
- Symmetry: No. 221
- Energy: -8.31 eV per atom

Here is a geometry-optimized CsFeRe2 structure from Alexandria. Energies are from PBEsol.

Unit cell a=4.5135 b=4.5135 c=4.5135 alpha=60.00 beta=60.00 gamma=60.00
Closest atoms and distances in Å follow each position.
Atoms (fractional coordinates):
Fe 0.0000 0.0000 0.0000  8 Re 2.76
Cs 0.5000 0.5000 0.5000  8 Re 2.76
Re 0.2500 0.2500 0.2500  4 Fe 2.76, 4 Cs 2.76
Re 0.7500 0.7500 0.7500  4 Cs 2.76, 4 Fe 2.76

## Properties
- Formation enthalpy at 0 K: 2164 meV/atom
- Symmetry: No. 225
- Energy: -6.98 eV per atom

Here is a geometry-optimized CaFe2Te structure from Alexandria. Energies are from PBEsol.

Unit cell a=3.5326 b=4.5569 c=5.2796 alpha=115.57 beta=109.55 gamma=90.00
Closest atoms and distances in Å follow each position.
Atoms (fractional coordinates):
Fe 0.2725 0.7725 0.5449  2 Fe 2.42
Ca 0.7441 0.2441 0.4883  8 Fe 2.89-3.07, 4 Te 3.00-3.04
Fe 0.9601 0.9601 0.9202  2 Fe 2.42
Te 0.5233 0.5233 0.0466  6 Fe 2.82-2.94, 4 Ca 3.00-3.04

## Properties
- Energy above the lowest structure with this stoichiometry: 0.008 eV per atom
- Formation energy (no corrections): 0.23 eV/atom
- Symmetry: No. 44
- Energy: -5.67 eV per atom

Here is a geometry-optimized Fe structure from Alexandria. Energies are from PBEsol.

Unit cell a=2.4051 b=2.4030 c=2.4051 alpha=59.97 beta=90.00 gamma=120.03
Closest atoms and distances in Å follow each position.
Atoms (fractional coordinates):
Fe 0.0000 0.0000 0.0000  12 Fe 2.40-2.41

## Properties
- Energy above the lowest structure with this stoichiometry: 0.084 eV per atom
- Formation enthalpy at 0 K: 84 meV/atom
- Symmetry: No. 225
- Energy: -8.88 eV per atom

Here is a geometry-optimized Sr2WO5 structure from Alexandria. Energies are from PBEsol.

Unit cell a=5.5188 b=7.1870 c=10.9143 alpha=90.00 beta=90.00 gamma=90.00
Closest atoms and distances in Å follow each position.
Atoms (fractional coordinates):
O 0.0000 0.0000 0.0000  2 W 2.05
Sr 0.7500 0.6799 0.0847  5 O 2.50-2.79
Sr 0.2500 0.5199 0.2830  4 O 2.44-2.66
O 0.0002 0.8412 0.3893  1 W 1.84
O 0.9998 0.1588 0.6107  1 W 1.84
W 0.2500 0.3129 0.5643  6 O 1.84-2.05
O 0.5002 0.6588 0.8893  1 W 1.84
O 0.4998 0.3412 0.1107  1 W 1.84
O 0.2500 0.9608 0.7944  1 W 1.87
O 0.0002 0.3412 0.1107  1 W 1.84
O 0.2500 0.4608 0.7056  1 W 1.87
W 0.7500 0.6871 0.4357  6 O 1.84-2.05
O 0.5002 0.1588 0.6107  1 W 1.84
O 0.4998 0.8412 0.3893  1 W 1.84
Sr 0.2500 0.3201 0.9153  5 O 2.50-2.79
W 0.7500 0.1871 0.0643  6 O 1.84-2.05
O 0.5000 0.0000 0.0000  2 W 2.05
W 0.2500 0.8129 0.9357  6 O 1.84-2.05
Sr 0.2500 0.8201 0.5847  5 O 2.50-2.79
O 0.7500 0.2742 0.8949  1 W 1.95
O 0.0000 0.5000 0.5000  2 W 2.05
O 0.7500 0.5392 0.2944  1 W 1.87
Sr 0.7500 0.4801 0.7170  4 O 2.44-2.66
O 0.9998 0.6588 0.8893  1 W 1.84
O 0.2500 0.7258 0.1051  1 W 1.95
O 0.5000 0.5000 0.5000  2 W 2.05
O 0.7500 0.0392 0.2056  1 W 1.87
O 0.2500 0.2258 0.3949  1 W 1.95
Sr 0.7500 0.9801 0.7830  4 O 2.44-2.66
Sr 0.2500 0.0199 0.2170  4 O 2.44-2.66
O 0.7500 0.7742 0.6051  1 W 1.95
Sr 0.7500 0.1799 0.4153  5 O 2.50-2.79

## Properties
- Formation energy (no corrections): -2.74 eV/atom
- Symmetry: No. 62
- Energy: -8.20 eV per atom